# 1
# NaScOsW, optimized geometry, DFT PBE-GGA
data_NaScOsW
_chemical_formula_sum 'Na1 Sc1 Os1 W1'
_space_group_name_H-M_alt 'P 1'
_space_group_IT_number 1
_space_group_name_Hall 'P 1'
_cell_length_a 4.571
_cell_length_b 4.571
_cell_length_c 4.571
_cell_angle_alpha 60.00
_cell_angle_beta 60.00
_cell_angle_gamma 60.00
loop_
_atom_site_label
_atom_site_type_symbol
_atom_site_fract_x
_atom_site_fract_y
_atom_site_fract_z
_atom_site_occupancy
Na1 Na 0.750 0.750 0.750 1
Os1 Os 0.250 0.250 0.250 1
Sc1 Sc 0.000 0.000 0.000 1
W1 W 0.500 0.500 0.500 1
# E above lowest polymorph, meV/atom: 0

***

# 2
# TmSc3Cd2C2, optimized geometry, DFT PBE-GGA
data_TmSc3Cd2C2
_chemical_formula_sum 'Tm1 Sc3 Cd2 C2'
_space_group_name_H-M_alt 'P 1'
_space_group_IT_number 1
_space_group_name_Hall 'P 1'
_cell_length_a 3.366
_cell_length_b 3.366
_cell_length_c 15.797
_cell_angle_alpha 90.00
_cell_angle_beta 90.00
_cell_angle_gamma 120.00
loop_
_atom_site_label
_atom_site_type_symbol
_atom_site_fract_x
_atom_site_fract_y
_atom_site_fract_z
_atom_site_occupancy
C1 C 0.333 0.667 0.006 1
C2 C 0.333 0.667 0.499 1
Cd1 Cd 0.000 0.000 0.253 1
Cd2 Cd 0.667 0.333 0.742 1
Sc1 Sc 0.667 0.333 0.082 1
Sc2 Sc 0.667 0.333 0.422 1
Sc3 Sc 0.000 0.000 0.576 1
Tm1 Tm 0.000 0.000 0.919 1
# Total DFT energy (no corrections), eV per cell: -46.9

***

# 3
# AlW12, optimized geometry, DFT PBE-GGA
data_AlW12
_chemical_formula_sum 'Al1 W12'
_space_group_name_H-M_alt 'P 1'
_space_group_IT_number 1
_space_group_name_Hall 'P 1'
_cell_length_a 9.751
_cell_length_b 9.751
_cell_length_c 9.751
_cell_angle_alpha 30.72
_cell_angle_beta 30.72
_cell_angle_gamma 30.72
loop_
_atom_site_label
_atom_site_type_symbol
_atom_site_fract_x
_atom_site_fract_y
_atom_site_fract_z
_atom_site_occupancy
Al1 Al 0.000 0.000 0.000 1
W1 W 0.588 0.091 0.091 1
W2 W 0.091 0.588 0.091 1
W3 W 0.167 0.167 0.167 1
W4 W 0.352 0.352 0.352 1
W5 W 0.909 0.909 0.412 1
W6 W 0.455 0.455 0.455 1
W7 W 0.545 0.545 0.545 1
W8 W 0.091 0.091 0.588 1
W9 W 0.648 0.648 0.648 1
W10 W 0.833 0.833 0.833 1
W11 W 0.909 0.412 0.909 1
W12 W 0.412 0.909 0.909 1
# Total DFT energy (no corrections), eV per cell: -155.8

***

# 4
# LiYSnPd, optimized geometry, DFT PBE-GGA
data_LiYSnPd
_chemical_formula_sum 'Li4 Y4 Sn4 Pd4'
_space_group_name_H-M_alt 'P 1'
_space_group_IT_number 1
_space_group_name_Hall 'P 1'
_cell_length_a 6.863
_cell_length_b 6.863
_cell_length_c 6.863
_cell_angle_alpha 90.00
_cell_angle_beta 90.00
_cell_angle_gamma 90.00
loop_
_atom_site_label
_atom_site_type_symbol
_atom_site_fract_x
_atom_site_fract_y
_atom_site_fract_z
_atom_site_occupancy
Li1 Li 0.453 0.547 0.047 1
Li2 Li 0.547 0.047 0.453 1
Li3 Li 0.047 0.453 0.547 1
Li4 Li 0.953 0.953 0.953 1
Pd1 Pd 0.772 0.272 0.228 1
Pd2 Pd 0.228 0.772 0.272 1
Pd3 Pd 0.728 0.728 0.728 1
Pd4 Pd 0.272 0.228 0.772 1
Sn1 Sn 0.534 0.966 0.034 1
Sn2 Sn 0.466 0.466 0.466 1
Sn3 Sn 0.966 0.034 0.534 1
Sn4 Sn 0.034 0.534 0.966 1
Y1 Y 0.206 0.206 0.206 1
Y2 Y 0.794 0.706 0.294 1
Y3 Y 0.294 0.794 0.706 1
Y4 Y 0.706 0.294 0.794 1
# Total DFT energy (no corrections), eV per cell: -80.2

***

# 5
# HoBi, optimized geometry, DFT PBE-GGA
data_HoBi
_chemical_formula_sum 'Ho4 Bi4'
_space_group_name_H-M_alt 'P 1'
_space_group_IT_number 1
_space_group_name_Hall 'P 1'
_cell_length_a 6.298
_cell_length_b 5.271
_cell_length_c 7.652
_cell_angle_alpha 90.00
_cell_angle_beta 90.00
_cell_angle_gamma 90.00
loop_
_atom_site_label
_atom_site_type_symbol
_atom_site_fract_x
_atom_site_fract_y
_atom_site_fract_z
_atom_site_occupancy
Bi1 Bi 0.750 0.500 0.078 1
Bi2 Bi 0.250 0.000 0.325 1
Bi3 Bi 0.750 0.000 0.675 1
Bi4 Bi 0.250 0.500 0.922 1
Ho1 Ho 0.750 0.000 0.248 1
Ho2 Ho 0.000 0.500 0.500 1
Ho3 Ho 0.500 0.500 0.500 1
Ho4 Ho 0.250 0.000 0.752 1
# Total DFT energy (no corrections), eV per cell: -37.3

***

# 6
# Fe3C, optimized geometry, DFT PBE-GGA
data_Fe3C
_chemical_formula_sum 'Fe6 C2'
_space_group_name_H-M_alt 'P 1'
_space_group_IT_number 1
_space_group_name_Hall 'P 1'
_cell_length_a 4.766
_cell_length_b 4.766
_cell_length_c 3.834
_cell_angle_alpha 90.00
_cell_angle_beta 90.00
_cell_angle_gamma 120.00
loop_
_atom_site_label
_atom_site_type_symbol
_atom_site_fract_x
_atom_site_fract_y
_atom_site_fract_z
_atom_site_occupancy
C1 C 0.667 0.333 0.250 1
C2 C 0.333 0.667 0.750 1
Fe1 Fe 0.171 0.342 0.250 1
Fe2 Fe 0.171 0.829 0.250 1
Fe3 Fe 0.658 0.829 0.250 1
Fe4 Fe 0.342 0.171 0.750 1
Fe5 Fe 0.829 0.171 0.750 1
Fe6 Fe 0.829 0.658 0.750 1
# Total DFT energy (no corrections), eV per cell: -62.5

***

# 7
# LiLuBe, optimized geometry, DFT PBE-GGA
data_LiLuBe
_chemical_formula_sum 'Li1 Lu1 Be1'
_space_group_name_H-M_alt 'P 1'
_space_group_IT_number 1
_space_group_name_Hall 'P 1'
_cell_length_a 4.428
_cell_length_b 4.428
_cell_length_c 4.428
_cell_angle_alpha 60.00
_cell_angle_beta 60.00
_cell_angle_gamma 60.00
loop_
_atom_site_label
_atom_site_type_symbol
_atom_site_fract_x
_atom_site_fract_y
_atom_site_fract_z
_atom_site_occupancy
Be1 Be 0.000 0.000 0.000 1
Li1 Li 0.250 0.250 0.250 1
Lu1 Lu 0.750 0.750 0.750 1
# E above lowest polymorph, meV/atom: 0

***

# 8
# ZnFeCu4As2, optimized geometry, DFT PBE-GGA
data_ZnFeCu4As2
_chemical_formula_sum 'Zn1 Fe1 Cu4 As2'
_space_group_name_H-M_alt 'P 1'
_space_group_IT_number 1
_space_group_name_Hall 'P 1'
_cell_length_a 4.095
_cell_length_b 4.095
_cell_length_c 6.422
_cell_angle_alpha 90.00
_cell_angle_beta 90.00
_cell_angle_gamma 90.00
loop_
_atom_site_label
_atom_site_type_symbol
_atom_site_fract_x
_atom_site_fract_y
_atom_site_fract_z
_atom_site_occupancy
As1 As 0.000 0.000 0.000 1
As2 As 0.500 0.500 0.500 1
Cu1 Cu 0.500 0.000 0.256 1
Cu2 Cu 0.000 0.500 0.256 1
Cu3 Cu 0.500 0.000 0.744 1
Cu4 Cu 0.000 0.500 0.744 1
Fe1 Fe 0.000 0.000 0.500 1
Zn1 Zn 0.500 0.500 0.000 1
# E above lowest polymorph, meV/atom: 0

***

# 9
# Dy6TlIr2, optimized geometry, DFT PBE-GGA
data_Dy6TlIr2
_chemical_formula_sum 'Dy6 Tl1 Ir2'
_space_group_name_H-M_alt 'P 1'
_space_group_IT_number 1
_space_group_name_Hall 'P 1'
_cell_length_a 5.358
_cell_length_b 5.358
_cell_length_c 10.900
_cell_angle_alpha 90.00
_cell_angle_beta 90.00
_cell_angle_gamma 90.00
loop_
_atom_site_label
_atom_site_type_symbol
_atom_site_fract_x
_atom_site_fract_y
_atom_site_fract_z
_atom_site_occupancy
Dy1 Dy 0.500 0.500 0.000 1
Dy2 Dy 0.500 0.000 0.214 1
Dy3 Dy 0.000 0.500 0.215 1
Dy4 Dy 0.500 0.500 0.500 1
Dy5 Dy 0.000 0.500 0.785 1
Dy6 Dy 0.500 0.000 0.786 1
Ir1 Ir 0.500 0.500 0.257 1
Ir2 Ir 0.500 0.500 0.743 1
Tl1 Tl 0.000 0.000 0.000 1
# Total DFT energy (no corrections), eV per cell: -50.1

***

# 10
# Nb2BMo, optimized geometry, DFT PBE-GGA
data_Nb2BMo
_chemical_formula_sum 'Nb2 B1 Mo1'
_space_group_name_H-M_alt 'P 1'
_space_group_IT_number 1
_space_group_name_Hall 'P 1'
_cell_length_a 4.374
_cell_length_b 4.374
_cell_length_c 4.374
_cell_angle_alpha 60.00
_cell_angle_beta 60.00
_cell_angle_gamma 60.00
loop_
_atom_site_label
_atom_site_type_symbol
_atom_site_fract_x
_atom_site_fract_y
_atom_site_fract_z
_atom_site_occupancy
B1 B 0.500 0.500 0.500 1
Mo1 Mo 0.250 0.250 0.250 1
Nb1 Nb 0.000 0.000 0.000 1
Nb2 Nb 0.750 0.750 0.750 1
# Total DFT energy (no corrections), eV per cell: -35.9

***

# 11
# GdY2Al3NiGe2, optimized geometry, DFT PBE-GGA
data_GdY2Al3NiGe2
_chemical_formula_sum 'Gd1 Y2 Al3 Ni1 Ge2'
_space_group_name_H-M_alt 'P 1'
_space_group_IT_number 1
_space_group_name_Hall 'P 1'
_cell_length_a 4.190
_cell_length_b 6.978
_cell_length_c 6.978
_cell_angle_alpha 120.01
_cell_angle_beta 90.00
_cell_angle_gamma 90.00
loop_
_atom_site_label
_atom_site_type_symbol
_atom_site_fract_x
_atom_site_fract_y
_atom_site_fract_z
_atom_site_occupancy
Al1 Al 0.500 0.773 0.001 1
Al2 Al 0.500 0.227 0.227 1
Al3 Al 0.500 0.001 0.773 1
Gd1 Gd 0.000 0.596 0.596 1
Ge1 Ge 0.500 0.667 0.332 1
Ge2 Ge 0.500 0.332 0.667 1
Ni1 Ni 0.000 0.001 0.001 1
Y1 Y 0.000 0.000 0.403 1
Y2 Y 0.000 0.403 0.000 1
# Total DFT energy (no corrections), eV per cell: -50.4

***

# 12
# K2ZnOsO6, optimized geometry, DFT PBE-GGA
data_K2ZnOsO6
_chemical_formula_sum 'K2 Zn1 Os1 O6'
_space_group_name_H-M_alt 'P 1'
_space_group_IT_number 1
_space_group_name_Hall 'P 1'
_cell_length_a 5.603
_cell_length_b 5.603
_cell_length_c 5.603
_cell_angle_alpha 59.65
_cell_angle_beta 59.65
_cell_angle_gamma 59.65
loop_
_atom_site_label
_atom_site_type_symbol
_atom_site_fract_x
_atom_site_fract_y
_atom_site_fract_z
_atom_site_occupancy
K1 K 0.251 0.251 0.251 1
K2 K 0.749 0.749 0.749 1
O1 O 0.737 0.265 0.262 1
O2 O 0.734 0.738 0.263 1
O3 O 0.262 0.737 0.265 1
O4 O 0.738 0.263 0.734 1
O5 O 0.265 0.262 0.737 1
O6 O 0.263 0.734 0.738 1
Os1 Os 0.500 0.500 0.500 1
Zn1 Zn 0.000 0.000 0.000 1
# Total DFT energy (no corrections), eV per cell: -57.1